# 1
The following is a PBE calculation of an optimized crystal structure of LiPm2GaPt6, from Alexandria via LeMat-Bulk.

Calculated values
size of the total moment: 0.000 μB per atom
E_form: -0.75 eV per atom
V: 22.10 A^3/atom
VASP energy: -5.819 eV per atom

Cell: 9.7532 5.6316 8.6705 Å, 90.00 111.87 90.00°
Space group C2/m (No. 12)
Inequivalent atoms, fractional coordinates:
Li  0.0000  0.0000  0.0000 x2
Pm  0.2021  0.0000  0.6071 x4
Ga  0.0000  0.5000  0.5000 x2
Pt  0.0079  0.2454  0.2670 x8
Pt  0.2470  0.5000  0.7331 x4

=====

# 2
The following is a PBE calculation of an optimized crystal structure of RbTlHgPb2, from Alexandria via LeMat-Bulk.

Calculated values
size of the total moment: 0.000 μB per atom
E_form: -0.12 eV per atom
V: 36.22 A^3/atom
VASP energy: -2.326 eV per atom

Cell: 5.0383 5.3925 13.3316 Å, 90.00 90.00 90.00°
Space group Imm2 (No. 44)
Inequivalent atoms, fractional coordinates:
Rb  0.0000  0.0000  0.0000 x2
Tl  0.0000  0.5000  0.7540 x2
Hg  0.0000  0.0000  0.3919 x2
Pb  0.0000  0.0000  0.6183 x2
Pb  0.0000  0.5000  0.2623 x2

=====

# 3
The following is a PBE calculation of an optimized crystal structure of RbGe2Br, from Alexandria via LeMat-Bulk.

Calculated values
size of the total moment: 0.000 μB per atom
V: 29.23 A^3/atom
VASP energy: -2.424 eV per atom

Cell: 7.7619 7.7619 7.7619 Å, 90.00 90.00 90.00°
Space group Fm-3m (No. 225)
Inequivalent atoms, fractional coordinates:
Rb  0.0000  0.0000  0.0000 x4
Ge  0.2500  0.2500  0.2500 x8
Br  0.0000  0.0000  0.5000 x4